1.
GeTe2Ru | PBE-GGA | relaxed

Values from the calculation:
- energy relative to the elements, uncorrected (kJ per mole of atoms) = 25.8
- magnetization (μB/cell) = 0.00
- D(E_F) (states/eV per atom) = 0.278
- theoretical density (g/cm3) = 6.006

CIF file:
```
data_GeTe2Ru
_space_group_name_H-M_alt 'I -4 2 d'
_space_group_IT_number 122
_space_group_name_Hall 'I -4 2bw'
_cell_length_a 6.312
_cell_length_b 6.312
_cell_length_c 11.907
_cell_angle_alpha 90.00
_cell_angle_beta 90.00
_cell_angle_gamma 90.00
loop_
_atom_site_label
_atom_site_type_symbol
_atom_site_fract_x
_atom_site_fract_y
_atom_site_fract_z
Ge1 Ge 0.000 0.000 0.000
Te1 Te 0.212 0.250 0.625
Ru1 Ru 0.000 0.000 0.500
```

2.
GeTeRu3 | PBE-GGA | relaxed

Values from the calculation:
- energy relative to the elements, uncorrected (kJ per mole of atoms) = 95.4
- magnetization (μB/cell) = 0.00
- D(E_F) (states/eV per atom) = 1.156
- theoretical density (g/cm3) = 8.735
- energy above the lowest structure with this stoichiometry (kJ/mol of atoms) = 0.0

CIF file:
```
data_GeTeRu3
_space_group_name_H-M_alt 'P m -3 m'
_space_group_IT_number 221
_space_group_name_Hall '-P 4 2 3'
_cell_length_a 4.574
_cell_length_b 4.574
_cell_length_c 4.574
_cell_angle_alpha 90.00
_cell_angle_beta 90.00
_cell_angle_gamma 90.00
loop_
_atom_site_label
_atom_site_type_symbol
_atom_site_fract_x
_atom_site_fract_y
_atom_site_fract_z
Ge1 Ge 0.000 0.000 0.000
Te1 Te 0.500 0.500 0.500
Ru1 Ru 0.000 0.000 0.500
```

3.
Ge2TeRu2 | PBE-GGA | relaxed

Values from the calculation:
- energy relative to the elements, uncorrected (kJ per mole of atoms) = 1.9
- magnetization (μB/cell) = 0.00
- D(E_F) (states/eV per atom) = 0.647
- theoretical density (g/cm3) = 8.957

CIF file:
```
data_Ge2TeRu2
_space_group_name_H-M_alt 'I 4/m m m'
_space_group_IT_number 139
_space_group_name_Hall '-I 4 2'
_cell_length_a 3.765
_cell_length_b 3.765
_cell_length_c 12.425
_cell_angle_alpha 90.00
_cell_angle_beta 90.00
_cell_angle_gamma 90.00
loop_
_atom_site_label
_atom_site_type_symbol
_atom_site_fract_x
_atom_site_fract_y
_atom_site_fract_z
Ge1 Ge 0.000 0.500 0.250
Te1 Te 0.000 0.000 0.000
Ru1 Ru 0.000 0.000 0.383
```

4.
GeTe2Ru | PBE-GGA | relaxed

Values from the calculation:
- energy relative to the elements, uncorrected (kJ per mole of atoms) = 24.4
- magnetization (μB/cell) = 0.00
- D(E_F) (states/eV per atom) = 0.878
- theoretical density (g/cm3) = 6.514

CIF file:
```
data_GeTe2Ru
_space_group_name_H-M_alt 'R -3 m'
_space_group_IT_number 166
_space_group_name_Hall '-R 3 2"'
_cell_length_a 3.7373
_cell_length_b 3.7373
_cell_length_c 27.1174
_cell_angle_alpha 90.00
_cell_angle_beta 90.00
_cell_angle_gamma 120.00
loop_
_atom_site_label
_atom_site_type_symbol
_atom_site_fract_x
_atom_site_fract_y
_atom_site_fract_z
Ge1 Ge 0.0000 0.0000 0.0000
Te1 Te 0.0000 0.0000 0.1103
Ru1 Ru 0.0000 0.0000 0.5000
```

5.
Ge2TeRu | PBE-GGA | relaxed

Values from the calculation:
- energy relative to the elements, uncorrected (kJ per mole of atoms) = 26.0
- magnetization (μB/cell) = 0.00
- D(E_F) (states/eV per atom) = 0.769
- theoretical density (g/cm3) = 5.870

CIF file:
```
data_Ge2TeRu
_space_group_name_H-M_alt 'I -4 2 d'
_space_group_IT_number 122
_space_group_name_Hall 'I -4 2bw'
_cell_length_a 5.993
_cell_length_b 5.993
_cell_length_c 11.781
_cell_angle_alpha 90.00
_cell_angle_beta 90.00
_cell_angle_gamma 90.00
loop_
_atom_site_label
_atom_site_type_symbol
_atom_site_fract_x
_atom_site_fract_y
_atom_site_fract_z
Ge1 Ge 0.183 0.250 0.125
Te1 Te 0.000 0.000 0.500
Ru1 Ru 0.000 0.000 0.000
```

6.
Th8Ge3Te4Ru | PBE-GGA | relaxed

Values from the calculation:
- energy relative to the elements, uncorrected (kJ per mole of atoms) = -93.0
- magnetization (μB/cell) = 0.00
- D(E_F) (states/eV per atom) = 0.623
- theoretical density (g/cm3) = 9.269

CIF file:
```
data_Th8Ge3Te4Ru
_space_group_name_H-M_alt 'R -3 m'
_space_group_IT_number 166
_space_group_name_Hall '-R 3 2"'
_cell_length_a 8.6969
_cell_length_b 8.6969
_cell_length_c 22.0355
_cell_angle_alpha 90.00
_cell_angle_beta 90.00
_cell_angle_gamma 120.00
loop_
_atom_site_label
_atom_site_type_symbol
_atom_site_fract_x
_atom_site_fract_y
_atom_site_fract_z
Th1 Th 0.0000 0.0000 0.2398
Th2 Th 0.0154 0.5077 0.2368
Ge1 Ge 0.0000 0.5000 0.5000
Te1 Te 0.0000 0.0000 0.0000
Te2 Te 0.0000 0.5000 0.0000
Ru1 Ru 0.0000 0.0000 0.5000
```

7.
Th6Ge2Te3Ru | PBE-GGA | relaxed

Values from the calculation:
- energy relative to the elements, uncorrected (kJ per mole of atoms) = -91.5
- magnetization (μB/cell) = 0.00
- D(E_F) (states/eV per atom) = 0.746
- theoretical density (g/cm3) = 9.361

CIF file:
```
data_Th6Ge2Te3Ru
_space_group_name_H-M_alt 'C 1 2/m 1'
_space_group_IT_number 12
_cell_length_a 19.226
_cell_length_b 4.260
_cell_length_c 9.054
_cell_angle_alpha 90.00
_cell_angle_beta 104.75
_cell_angle_gamma 90.00
loop_
_space_group_symop_operation_xyz
'x,y,z'
'-x,-y,-z'
'-x,y,-z'
'x,-y,z'
'x+1/2,y+1/2,z'
'-x+1/2,-y+1/2,-z'
'-x+1/2,y+1/2,-z'
'x+1/2,-y+1/2,z'
loop_
_atom_site_label
_atom_site_type_symbol
_atom_site_fract_x
_atom_site_fract_y
_atom_site_fract_z
Th1 Th 0.004 0.000 0.216
Th2 Th 0.151 0.500 0.095
Th3 Th 0.174 0.500 0.566
Ge1 Ge 0.165 0.000 0.334
Te1 Te 0.000 0.500 0.500
Te2 Te 0.173 0.000 0.834
Ru1 Ru 0.000 0.500 0.000
```

8.
Th6GeTe3Ru2 | PBE-GGA | relaxed

Values from the calculation:
- energy relative to the elements, uncorrected (kJ per mole of atoms) = -86.9
- magnetization (μB/cell) = 0.00
- D(E_F) (states/eV per atom) = 0.680
- theoretical density (g/cm3) = 9.574

CIF file:
```
data_Th6GeTe3Ru2
_space_group_name_H-M_alt 'C 1 2/m 1'
_space_group_IT_number 12
_cell_length_a 7.374
_cell_length_b 12.746
_cell_length_c 7.950
_cell_angle_alpha 90.00
_cell_angle_beta 107.91
_cell_angle_gamma 90.00
loop_
_space_group_symop_operation_xyz
'x,y,z'
'-x,-y,-z'
'-x,y,-z'
'x,-y,z'
'x+1/2,y+1/2,z'
'-x+1/2,-y+1/2,-z'
'-x+1/2,y+1/2,-z'
'x+1/2,-y+1/2,z'
loop_
_atom_site_label
_atom_site_type_symbol
_atom_site_fract_x
_atom_site_fract_y
_atom_site_fract_z
Th1 Th 0.218 0.000 0.205
Th2 Th 0.244 0.325 0.207
Ge1 Ge 0.000 0.500 0.000
Te1 Te 0.000 0.000 0.500
Te2 Te 0.000 0.340 0.500
Ru1 Ru 0.000 0.168 0.000
```

9.
Th4GeTe2Ru | PBE-GGA | relaxed

Values from the calculation:
- energy relative to the elements, uncorrected (kJ per mole of atoms) = -87.8
- magnetization (μB/cell) = 0.00
- D(E_F) (states/eV per atom) = 0.862
- theoretical density (g/cm3) = 9.432

CIF file:
```
data_Th4GeTe2Ru
_space_group_name_H-M_alt 'P 1 2/m 1'
_space_group_IT_number 10
_cell_length_a 7.613
_cell_length_b 4.208
_cell_length_c 7.827
_cell_angle_alpha 90.00
_cell_angle_beta 107.67
_cell_angle_gamma 90.00
loop_
_space_group_symop_operation_xyz
'x,y,z'
'-x,-y,-z'
'-x,y,-z'
'x,-y,z'
loop_
_atom_site_label
_atom_site_type_symbol
_atom_site_fract_x
_atom_site_fract_y
_atom_site_fract_z
Th1 Th 0.218 0.000 0.202
Th2 Th 0.251 0.500 0.786
Ge1 Ge 0.500 0.000 0.000
Te1 Te 0.000 0.000 0.500
Te2 Te 0.500 0.500 0.500
Ru1 Ru 0.000 0.500 0.000
```

10.
TiGe2TeRu | PBE-GGA | relaxed

Values from the calculation:
- energy relative to the elements, uncorrected (kJ per mole of atoms) = 158.6
- magnetization (μB/cell) = 0.01
- D(E_F) (states/eV per atom) = 2.191
- theoretical density (g/cm3) = 5.169

CIF file:
```
data_TiGe2TeRu
_space_group_name_H-M_alt 'P 4/m m m'
_space_group_IT_number 123
_space_group_name_Hall '-P 4 2'
_cell_length_a 5.242
_cell_length_b 5.242
_cell_length_c 4.931
_cell_angle_alpha 90.00
_cell_angle_beta 90.00
_cell_angle_gamma 90.00
loop_
_atom_site_label
_atom_site_type_symbol
_atom_site_fract_x
_atom_site_fract_y
_atom_site_fract_z
Ti1 Ti 0.000 0.000 0.000
Ge1 Ge 0.000 0.500 0.500
Te1 Te 0.000 0.000 0.500
Ru1 Ru 0.500 0.500 0.000
```

11.
GeTeRuW2 | PBE-GGA | relaxed

Values from the calculation:
- energy relative to the elements, uncorrected (kJ per mole of atoms) = 207.0
- magnetization (μB/cell) = 0.00
- D(E_F) (states/eV per atom) = 1.446
- theoretical density (g/cm3) = 10.226

CIF file:
```
data_GeTeRuW2
_space_group_name_H-M_alt 'P 4/m m m'
_space_group_IT_number 123
_space_group_name_Hall '-P 4 2'
_cell_length_a 4.628
_cell_length_b 4.628
_cell_length_c 5.072
_cell_angle_alpha 90.00
_cell_angle_beta 90.00
_cell_angle_gamma 90.00
loop_
_atom_site_label
_atom_site_type_symbol
_atom_site_fract_x
_atom_site_fract_y
_atom_site_fract_z
Ge1 Ge 0.000 0.000 0.000
Te1 Te 0.000 0.000 0.500
Ru1 Ru 0.500 0.500 0.500
W1 W 0.000 0.500 0.000
```

12.
YGeTe2Ru | PBE-GGA | relaxed

Values from the calculation:
- energy relative to the elements, uncorrected (kJ per mole of atoms) = 88.1
- magnetization (μB/cell) = 2.11
- D(E_F) (states/eV per atom) = 1.055
- theoretical density (g/cm3) = 6.328
- energy above the lowest structure with this stoichiometry (kJ/mol of atoms) = 10.9

CIF file:
```
data_YGeTe2Ru
_space_group_name_H-M_alt 'P 4/m m m'
_space_group_IT_number 123
_space_group_name_Hall '-P 4 2'
_cell_length_a 5.135
_cell_length_b 5.135
_cell_length_c 5.153
_cell_angle_alpha 90.00
_cell_angle_beta 90.00
_cell_angle_gamma 90.00
loop_
_atom_site_label
_atom_site_type_symbol
_atom_site_fract_x
_atom_site_fract_y
_atom_site_fract_z
Y1 Y 0.000 0.000 0.000
Ge1 Ge 0.000 0.000 0.500
Te1 Te 0.000 0.500 0.500
Ru1 Ru 0.500 0.500 0.000
```